# Sr2CaFeO4

An optimized crystal structure of Sr2CaFeO4 (PBE with a Hubbard U, Alexandria via LeMat-Bulk).

Properties
density of states at the Fermi level: 0.000 states/eV/cell
SG: Cmcm
calculated density: 4.31 g/cm³
total DFT energy (no corrections): -6.13 eV/atom
V: 258.3 Å³ per cell

Cell: 3.4857 6.2101 12.4315 Å, 90.00 90.00 106.30°
Site moments in Bohr magnetons follow the coordinates.
Atoms (fractional coordinates):
Ca: 0.8620 0.7240 0.2500  0.00
Ca: 0.1380 0.2760 0.7500  0.00
Sr: 0.3689 0.7379 0.5401  0.00
Sr: 0.6311 0.2621 0.4599  0.00
Sr: 0.3689 0.7379 0.9599  0.00
Sr: 0.6311 0.2621 0.0401  0.00
Fe: 0.1355 0.2711 0.2500  3.69
Fe: 0.8645 0.7289 0.7500  3.69
O: 0.2666 0.5332 0.3636  0.03
O: 0.7334 0.4668 0.6364  0.03
O: 0.4482 0.8963 0.7500  0.09
O: 0.0000 0.0000 0.0000  0.01
O: 0.0000 0.0000 0.5000  0.01
O: 0.7334 0.4668 0.8636  0.03
O: 0.5518 0.1037 0.2500  0.09
O: 0.2666 0.5332 0.1364  0.03